Computed, not measured: a relaxed structure of MnCd2O4 at the PBE with a Hubbard U level of DFT.

Summary:
Volume   14.064 A^3/atom
Crystal system   orthorhombic
Total energy   -37.3 eV/f.u.

a = 5.7601 Å, b = 5.7601 Å, c = 3.0936 Å
α = 90.00°, β = 90.00°, γ = 106.44°
Fractional coordinates of all 7 atoms:
Mn 0.0000 0.0000 0.0000
Cd 0.0000 0.5000 0.5000
Cd 0.5000 0.0000 0.5000
O 0.1830 0.1830 0.5000
O 0.2111 0.7889 0.0000
O 0.7889 0.2111 0.0000
O 0.8170 0.8170 0.5000